Record 1
Computed, not measured: a relaxed ZrSe2Cl crystal at the PBE-GGA level of DFT.

Unit cell a=9.8266 b=3.6047 c=7.4022 alpha=90.00 beta=109.21 gamma=90.00
Space group Cm (No. 8)
Inequivalent atoms, fractional coordinates:
Zr 0.0000 0.0000 0.0000
Se 0.0211 0.5000 0.2750
Se 0.2127 0.5000 0.0390
Cl 0.3645 0.0000 0.7453

Output
* total magnetization: 0.227 μB per atom
* crystal system: monoclinic
* DFT total energy: -5.4255 eV per atom
* excess energy over the best structure of this formula in the dataset: 0.000 eV per atom
* energy relative to the elements, uncorrected: -1085 meV per atom



Record 2
Computed, not measured: a relaxed ZrSe2Cl12 crystal at the PBE-GGA level of DFT.

Unit cell a=12.8607 b=22.4458 c=9.3212 alpha=90.00 beta=133.40 gamma=90.00
Space group C2 (No. 5)
Inequivalent atoms, fractional coordinates:
Zr 0.0000 0.0000 0.0000
Zr 0.0000 0.2502 0.5000
Se 0.2326 0.6680 0.9676
Se 0.2336 0.4185 0.4659
Cl 0.0014 0.4237 0.7784
Cl 0.0183 0.9190 0.8292
Cl 0.0353 0.2456 0.7994
Cl 0.0421 0.0755 0.8524
Cl 0.0753 0.5955 0.8515
Cl 0.0858 0.7421 0.8696
Cl 0.1883 0.1691 0.6684
Cl 0.1891 0.3255 0.6459
Cl 0.2180 0.9930 0.6322
Cl 0.2214 0.6727 0.7206
Cl 0.2272 0.8465 0.6546
Cl 0.2367 0.4956 0.7028

Output
* total magnetization: 0.000 μB per atom
* crystal system: monoclinic
* DFT total energy: -3.3364 eV per atom
* energy relative to the elements, uncorrected: -825 meV per atom



Record 3
Computed, not measured: a relaxed ZrSeCl crystal at the PBE-GGA level of DFT.

Unit cell a=6.5275 b=6.5275 c=6.5275 alpha=90.00 beta=90.00 gamma=90.00
Space group F-43m (No. 216)
Inequivalent atoms, fractional coordinates:
Zr 0.0000 0.0000 0.0000
Se 0.2500 0.2500 0.2500
Cl 0.2500 0.2500 0.7500

Output
* total magnetization: 0.334 μB per atom
* crystal system: cubic
* DFT total energy: -5.7375 eV per atom
* energy relative to the elements, uncorrected: -1111 meV per atom



Record 4
Computed, not measured: a relaxed ZrSeCl crystal at the PBE-GGA level of DFT.

Unit cell a=3.6973 b=5.3119 c=8.4487 alpha=90.00 beta=97.31 gamma=90.00
Space group P2_1/m (No. 11)
Inequivalent atoms, fractional coordinates:
Zr 0.2210 0.2500 0.4004
Se 0.2089 0.7500 0.3583
Cl 0.3426 0.7500 0.8187

Output
* total magnetization: 0.000 μB per atom
* crystal system: monoclinic
* DFT total energy: -6.1637 eV per atom
* energy relative to the elements, uncorrected: -1537 meV per atom



Record 5
Computed, not measured: a relaxed ZrSeCl2 crystal at the PBE-GGA level of DFT.

Unit cell a=3.8028 b=12.5085 c=5.2585 alpha=90.00 beta=90.00 gamma=90.00
Space group Imm2 (No. 44)
Inequivalent atoms, fractional coordinates:
Zr 0.0000 0.0000 0.0000
Se 0.0000 0.0000 0.4595
Cl 0.0000 0.3620 0.4464

Output
* total magnetization: 0.000 μB per atom
* crystal system: orthorhombic
* DFT total energy: -5.3579 eV per atom
* excess energy over the best structure of this formula in the dataset: 0.047 eV per atom
* energy relative to the elements, uncorrected: -1426 meV per atom



Record 6
Computed, not measured: a relaxed Zr2Se4Cl crystal at the PBE-GGA level of DFT.

Unit cell a=5.2540 b=5.2540 c=16.8773 alpha=90.00 beta=90.00 gamma=90.00
Space group I4/mmm (No. 139)
Inequivalent atoms, fractional coordinates:
Zr 0.0000 0.0000 0.0827
Se 0.0000 0.0000 0.2217
Se 0.0000 0.5000 0.0000
Cl 0.0000 0.0000 0.5000

Output
* total magnetization: 0.000 μB per atom
* crystal system: tetragonal
* DFT total energy: -4.9071 eV per atom
* energy relative to the elements, uncorrected: -210 meV per atom



Record 7
Computed, not measured: a relaxed ZrSe2Cl6 crystal at the PBE-GGA level of DFT.

Unit cell a=3.8076 b=9.0176 c=9.2370 alpha=80.06 beta=83.36 gamma=88.58
Space group P-1 (No. 2)
Inequivalent atoms, fractional coordinates:
Zr 0.0000 0.0000 0.0000
Se 0.0340 0.6227 0.5306
Cl 0.0719 0.0478 0.7336
Cl 0.1259 0.5357 0.7575
Cl 0.4885 0.1938 0.0015

Output
* total magnetization: 0.024 μB per atom
* crystal system: triclinic
* DFT total energy: -3.9020 eV per atom
* energy relative to the elements, uncorrected: -947 meV per atom



Record 8
Computed, not measured: a relaxed Si2Cl crystal at the PBE-GGA level of DFT.

Unit cell a=15.6037 b=3.8949 c=6.7077 alpha=90.00 beta=112.09 gamma=90.00
Space group C2/m (No. 12)
Inequivalent atoms, fractional coordinates:
Si 0.2194 0.0000 0.3981
Si 0.2450 0.5000 0.9122
Cl 0.0774 0.0000 0.3246

Output
* total magnetization: 0.000 μB per atom
* crystal system: monoclinic
* DFT total energy: -4.4393 eV per atom
* excess energy over the best structure of this formula in the dataset: 0.245 eV per atom
* energy relative to the elements, uncorrected: -208 meV per atom



Record 9
Computed, not measured: a relaxed SiCl2 crystal at the PBE-GGA level of DFT.

Unit cell a=4.0300 b=7.3521 c=13.8371 alpha=90.00 beta=90.00 gamma=90.00
Space group P2_12_12_1 (No. 19)
Inequivalent atoms, fractional coordinates:
Si 0.0236 0.1657 0.0105
Cl 0.0230 0.9562 0.9114
Cl 0.0244 0.0614 0.1489

Output
* total magnetization: 0.000 μB per atom
* crystal system: orthorhombic
* DFT total energy: -4.0208 eV per atom
* energy relative to the elements, uncorrected: -982 meV per atom



Record 10
Computed, not measured: a relaxed Si2Cl3 crystal at the PBE-GGA level of DFT.

Unit cell a=14.9017 b=17.7151 c=5.7254 alpha=90.00 beta=90.00 gamma=90.00
Space group Fdd2 (No. 43)
Inequivalent atoms, fractional coordinates:
Si 0.0621 0.0463 0.0000
Cl 0.0000 0.0000 0.3526
Cl 0.0036 0.3478 0.4737

Output
* total magnetization: 0.000 μB per atom
* crystal system: orthorhombic
* DFT total energy: -3.6109 eV per atom
* excess energy over the best structure of this formula in the dataset: 0.000 eV per atom
* energy relative to the elements, uncorrected: -334 meV per atom



Record 11
Computed, not measured: a relaxed Si23Cl crystal at the PBE-GGA level of DFT.

Unit cell a=10.2301 b=10.2301 c=10.2301 alpha=90.00 beta=90.00 gamma=90.00
Space group Pm-3n (No. 223)
Inequivalent atoms, fractional coordinates:
Si 0.0000 0.1168 0.3083
Si 0.0000 0.2500 0.5000
Si 0.1830 0.1830 0.1830
Cl 0.0000 0.0000 0.0000

Output
* total magnetization: 0.000 μB per atom
* crystal system: cubic
* DFT total energy: -5.2282 eV per atom
* energy relative to the elements, uncorrected: 46 meV per atom



Record 12
Computed, not measured: a relaxed SiCl3 crystal at the PBE-GGA level of DFT.

Unit cell a=10.8374 b=12.6850 c=4.2768 alpha=90.00 beta=90.00 gamma=90.00
Space group Cmcm (No. 63)
Inequivalent atoms, fractional coordinates:
Si 0.0000 0.0475 0.2500
Cl 0.0000 0.4745 0.2500
Cl 0.1558 0.1412 0.2500

Output
* total magnetization: 0.000 μB per atom
* crystal system: orthorhombic
* DFT total energy: -3.4293 eV per atom
* excess energy over the best structure of this formula in the dataset: 0.148 eV per atom
* energy relative to the elements, uncorrected: -689 meV per atom